Computed, not measured: VPbOF2 after structural relaxation at the GGA+U level of DFT. Values from VASP.

Results
ρ = 7.25 Mg/m³
Symmetry = P4/mmm
Uncorrected energy = -29.40 eV/cell

```
&SYSTEM
  ibrav = 0, nat = 5, ntyp = 4
/
ATOMIC_SPECIES
Pb 207.20 Pb.upf
F 19.00 F.upf
O 16.00 O.upf
V 50.94 V.upf
CELL_PARAMETERS angstrom
-0.899 0.296 4.022
2.358 -3.305 0.770
3.316 2.496 0.557
ATOMIC_POSITIONS crystal
Pb 0.500 0.500 0.500
F 0.000 0.500 0.000
F 0.500 0.000 0.000
O 0.000 0.000 0.500
V 0.000 0.000 0.000
```